An optimized crystal structure of RbMnF2. Source: Alexandria via LeMat-Bulk, functional GGA+U.

As for the total magnetization: 5.0 μB/cell. The density is 3.02 g/cm3. The space group is No. 166. The calculation puts the energy above the most stable polymorph in this dataset at 0 meV/atom. The calculated total energy is -20.18 eV per cell.

Lattice parameters (Å, degrees): 7.550 7.550 7.550 30.49 30.49 30.49
Atoms (fractional coordinates):
1 F 0.908 0.908 0.908
2 F 0.092 0.092 0.092
3 Mn 0.000 0.000 0.000
4 Rb 0.500 0.500 0.500